# 1
The following is a PBE calculation of an optimized crystal structure of Mg2Hg2Pd, from the Alexandria database.

**Total moment**: 0.00 μB/f.u.
**Mass density**: 8.73 g/cm3
**Formation enthalpy at 0 K**: -0.296 eV per atom
**Space group**: No. 72

a b c (Å): 7.4540 7.4540 7.4540
angles (deg): 132.36 67.35 135.35
Sites, in units of the cell vectors:
Mg 0.1635 0.1826 0.3460
Mg 0.3365 0.6826 0.0191
Mg 0.6635 0.3174 0.9809
Mg 0.8365 0.8174 0.6540
Hg 0.1075 0.6518 0.7593
Hg 0.3925 0.1518 0.5444
Hg 0.6075 0.8482 0.4556
Hg 0.8925 0.3482 0.2407
Pd 0.2500 0.2500 0.0000
Pd 0.7500 0.7500 0.0000

---

# 2
The following is a PBE calculation of an optimized crystal structure of Sr6CdAu3, from the Alexandria database.

**Total moment**: 0.00 μB/f.u.
**Mass density**: 5.53 g/cm3
**Formation enthalpy at 0 K**: -0.513 eV per atom
**Space group**: No. 11

a b c (Å): 11.9394 4.5881 14.4279
angles (deg): 90.00 110.93 90.00
Sites, in units of the cell vectors:
Sr 0.0144 0.2500 0.3892
Sr 0.0698 0.2500 0.9086
Sr 0.2389 0.7500 0.3174
Sr 0.3387 0.7500 0.8026
Sr 0.3415 0.7500 0.0924
Sr 0.3840 0.2500 0.5661
Sr 0.6160 0.7500 0.4339
Sr 0.6585 0.2500 0.9076
Sr 0.6613 0.2500 0.1974
Sr 0.7611 0.2500 0.6826
Sr 0.9302 0.7500 0.0914
Sr 0.9856 0.7500 0.6108
Cd 0.4239 0.2500 0.2857
Cd 0.5761 0.7500 0.7143
Au 0.1489 0.2500 0.1499
Au 0.1889 0.7500 0.5219
Au 0.4096 0.2500 0.9682
Au 0.5904 0.7500 0.0318
Au 0.8111 0.2500 0.4781
Au 0.8511 0.7500 0.8501

---

# 3
The following is a PBE calculation of an optimized crystal structure of Cs2CuPdO4, from the Alexandria database.

**ΔE_f (raw)**: -838.8 meV/atom
**Total moment**: 1.03 μB/f.u.
**Mass density**: 4.01 g/cm3
**Space group**: No. 70

a b c (Å): 12.3721 10.5662 7.6192
angles (deg): 84.07 58.15 37.77
Sites, in units of the cell vectors:
Cs 0.0426 0.0426 0.7074
Cs 0.2926 0.2926 0.9574
Cs 0.7074 0.7074 0.0426
Cs 0.9574 0.9574 0.2926
Cu 0.1250 0.1250 0.1250
Cu 0.8750 0.8750 0.8750
Pd 0.3750 0.3750 0.3750
Pd 0.6250 0.6250 0.6250
O 0.0148 0.7320 0.5561
O 0.1971 0.5561 0.7320
O 0.2680 0.9852 0.8029
O 0.4439 0.8029 0.9852
O 0.5561 0.1971 0.0148
O 0.7320 0.0148 0.1971
O 0.8029 0.4439 0.2680
O 0.9852 0.2680 0.4439

---

# 4
The following is a PBE calculation of an optimized crystal structure of HPb4, from the Alexandria database.

**Total moment**: 0.00 μB/f.u.
**Mass density**: 10.57 g/cm3
**E**: -3.446 eV/atom
**Space group**: No. 221

a b c (Å): 5.0711 5.0711 5.0711
angles (deg): 90.00 90.00 90.00
Sites, in units of the cell vectors:
H 0.0000 0.0000 0.0000
Pb 0.0000 0.0000 0.5000
Pb 0.0000 0.5000 0.0000
Pb 0.5000 0.0000 0.0000
Pb 0.5000 0.5000 0.5000

---

# 5
The following is a PBE calculation of an optimized crystal structure of BaTaO3, from the Alexandria database.

**ΔE_f (raw)**: 708.4 meV/atom
**Total moment**: 0.12 μB/f.u.
**Mass density**: 6.39 g/cm3
**Space group**: No. 221

a b c (Å): 4.5663 4.5663 4.5663
angles (deg): 90.00 90.00 90.00
Sites, in units of the cell vectors:
Ba 0.0000 0.0000 0.0000
Ta 0.5000 0.5000 0.5000
O 0.0000 0.0000 0.5000
O 0.0000 0.5000 0.0000
O 0.5000 0.0000 0.0000

---

# 6
The following is a PBE calculation of an optimized crystal structure of CeMgAgOs, from the Alexandria database.

**Total moment**: 0.00 μB/f.u.
**Mass density**: 9.62 g/cm3
**Formation enthalpy at 0 K**: 0.030 eV per atom
**Space group**: No. 216

a b c (Å): 4.8330 4.8330 4.8330
angles (deg): 60.00 60.00 60.00
Sites, in units of the cell vectors:
Ce 0.0000 0.0000 0.0000
Mg 0.5000 0.5000 0.5000
Ag 0.2500 0.2500 0.2500
Os 0.7500 0.7500 0.7500

---

# 7
The following is a PBE calculation of an optimized crystal structure of Bi2S3, from the Alexandria database.

**ΔE_f (raw)**: -349.8 meV/atom
**Total moment**: 0.00 μB/f.u.
**Mass density**: 6.46 g/cm3
**Space group**: No. 62

a b c (Å): 11.8024 4.0151 11.1643
angles (deg): 90.00 90.00 90.00
Sites, in units of the cell vectors:
Bi 0.0199 0.2500 0.1733
Bi 0.1552 0.7500 0.4678
Bi 0.3448 0.2500 0.9678
Bi 0.4801 0.7500 0.6733
Bi 0.5199 0.2500 0.3267
Bi 0.6552 0.7500 0.0322
Bi 0.8448 0.2500 0.5322
Bi 0.9801 0.7500 0.8267
S 0.0471 0.2500 0.6302
S 0.1227 0.7500 0.0537
S 0.2107 0.2500 0.3093
S 0.2893 0.7500 0.8093
S 0.3773 0.2500 0.5537
S 0.4529 0.7500 0.1302
S 0.5471 0.2500 0.8698
S 0.6227 0.7500 0.4463
S 0.7107 0.2500 0.1907
S 0.7893 0.7500 0.6907
S 0.8773 0.2500 0.9463
S 0.9529 0.7500 0.3698

---

# 8
The following is a PBE calculation of an optimized crystal structure of MgBrO2, from the Alexandria database.

**ΔE_f (raw)**: -589.9 meV/atom
**Total moment**: 0.00 μB/f.u.
**Mass density**: 4.33 g/cm3
**Space group**: No. 123

a b c (Å): 3.3696 3.3696 4.6050
angles (deg): 90.00 90.00 90.00
Sites, in units of the cell vectors:
Mg 0.0000 0.0000 0.0000
Br 0.5000 0.5000 0.5000
O 0.0000 0.0000 0.5000
O 0.5000 0.5000 0.0000

---

# 9
The following is a PBE calculation of an optimized crystal structure of ZnFe3Re, from the Alexandria database.

**Total moment**: 0.00 μB/f.u.
**Mass density**: 9.82 g/cm3
**Formation enthalpy at 0 K**: 1.821 eV per atom
**Space group**: No. 221

a b c (Å): 4.1379 4.1379 4.1379
angles (deg): 90.00 90.00 90.00
Sites, in units of the cell vectors:
Zn 0.0000 0.0000 0.0000
Fe 0.0000 0.0000 0.5000
Fe 0.0000 0.5000 0.0000
Fe 0.5000 0.0000 0.0000
Re 0.5000 0.5000 0.5000

---

# 10
The following is a PBE calculation of an optimized crystal structure of RbBi3Pt, from the Alexandria database.

**Total moment**: 0.00 μB/f.u.
**Mass density**: 9.52 g/cm3
**Formation enthalpy at 0 K**: -0.121 eV per atom
**Space group**: No. 15

a b c (Å): 9.0930 9.0930 8.1594
angles (deg): 104.27 104.27 85.31
Sites, in units of the cell vectors:
Rb 0.0011 0.9989 0.7500
Rb 0.3667 0.6333 0.7500
Rb 0.6333 0.3667 0.2500
Rb 0.9989 0.0011 0.2500
Bi 0.0011 0.3729 0.6099
Bi 0.0324 0.6438 0.9329
Bi 0.2992 0.3022 0.3984
Bi 0.3022 0.2992 0.8984
Bi 0.3562 0.9676 0.5671
Bi 0.3729 0.0011 0.1099
Bi 0.6271 0.9989 0.8901
Bi 0.6438 0.0324 0.4329
Bi 0.6978 0.7008 0.1016
Bi 0.7008 0.6978 0.6016
Bi 0.9676 0.3562 0.0671
Bi 0.9989 0.6271 0.3901
Pt 0.2458 0.5324 0.1872
Pt 0.4676 0.7542 0.3128
Pt 0.5324 0.2458 0.6872
Pt 0.7542 0.4676 0.8128

---

# 11
The following is a PBE calculation of an optimized crystal structure of LaPu2Si6, from the Alexandria database.

**ΔE_f (raw)**: -501.7 meV/atom
**Total moment**: 10.75 μB/f.u.
**Mass density**: 7.51 g/cm3
**Space group**: No. 191

a b c (Å): 7.0697 7.0697 4.0650
angles (deg): 90.00 90.00 120.00
Sites, in units of the cell vectors:
La 0.0000 0.0000 0.0000
Pu 0.3333 0.6667 0.0000
Pu 0.6667 0.3333 0.0000
Si 0.0000 0.3364 0.5000
Si 0.0000 0.6636 0.5000
Si 0.3364 0.0000 0.5000
Si 0.3364 0.3364 0.5000
Si 0.6636 0.0000 0.5000
Si 0.6636 0.6636 0.5000

---

# 12
The following is a PBE calculation of an optimized crystal structure of KDyCrN3, from the Alexandria database.

**ΔE_f (raw)**: -525.2 meV/atom
**Total moment**: 0.00 μB/f.u.
**Mass density**: 5.35 g/cm3
**Space group**: No. 12

a b c (Å): 6.8282 6.8282 7.7493
angles (deg): 104.33 104.33 31.68
Sites, in units of the cell vectors:
K 0.1385 0.1385 0.0676
K 0.8615 0.8615 0.9324
Dy 0.1606 0.1606 0.5813
Dy 0.8394 0.8394 0.4187
Cr 0.4955 0.4955 0.6659
Cr 0.5045 0.5045 0.3341
N 0.0112 0.0112 0.3298
N 0.3433 0.3433 0.6307
N 0.3689 0.3689 0.2238
N 0.6311 0.6311 0.7762
N 0.6567 0.6567 0.3693
N 0.9888 0.9888 0.6702

---

V (computed, Å³/cell): 211.5; 738.2; 413.4; 130.4; 95.2; 79.8; 529.1; 52.3; 70.9; 633.5; 175.9; 183.4